! SCAN NiPbCl2, PBEsol geometry; values from VASP
! Relative energy among the computed polymorphs: 546 meV/atom
! Raw formation energy: -0.0731 eV per atom
&SYSTEM
  ibrav = 0, nat = 4, ntyp = 3
/
ATOMIC_SPECIES
Pb 207.20 Pb.upf
Cl 35.45 Cl.upf
Ni 58.69 Ni.upf
CELL_PARAMETERS angstrom
-0.205 -1.020 3.298
4.180 0.865 0.527
-1.246 5.105 1.501
ATOMIC_POSITIONS crystal
Pb 0.000 0.500 0.500
Cl 0.500 0.000 0.500
Ni 0.500 0.500 0.000
Cl 0.000 0.000 0.000



! SCAN Nb2CdIr2, PBEsol geometry; values from VASP
! Formation energy: -2.41 eV/f.u.
&SYSTEM
  ibrav = 0, nat = 10, ntyp = 3
/
ATOMIC_SPECIES
Nb 92.91 Nb.upf
Ir 192.22 Ir.upf
Cd 112.41 Cd.upf
CELL_PARAMETERS angstrom
2.900 0.000 0.000
0.000 7.679 0.000
0.000 0.000 7.679
ATOMIC_POSITIONS crystal
Nb 0.500 0.665 0.835
Nb 0.500 0.165 0.665
Ir 0.000 0.129 0.371
Cd 0.000 0.000 0.000
Nb 0.500 0.335 0.165
Ir 0.000 0.871 0.629
Cd 0.000 0.500 0.500
Ir 0.000 0.629 0.129
Ir 0.000 0.371 0.871
Nb 0.500 0.835 0.335



! SCAN CsIOF4, PBEsol geometry; values from VASP
! Raw formation energy: -1.8880 eV per atom
&SYSTEM
  ibrav = 0, nat = 28, ntyp = 4
/
ATOMIC_SPECIES
F 19.00 F.upf
I 126.90 I.upf
Cs 132.91 Cs.upf
O 16.00 O.upf
CELL_PARAMETERS angstrom
6.011 0.000 0.000
0.000 6.126 0.000
0.000 0.000 15.246
ATOMIC_POSITIONS crystal
F 0.484 0.587 0.260
F 0.984 0.913 0.760
F 0.516 0.413 0.740
I 0.750 0.276 0.663
F 0.018 0.347 0.084
F 0.984 0.413 0.740
F 0.482 0.347 0.084
Cs 0.250 0.720 0.602
F 0.982 0.653 0.916
O 0.750 0.017 0.901
F 0.482 0.847 0.416
I 0.250 0.224 0.163
F 0.016 0.587 0.260
F 0.518 0.153 0.584
O 0.250 0.483 0.401
O 0.750 0.517 0.599
I 0.750 0.776 0.837
F 0.484 0.087 0.240
O 0.250 0.983 0.099
F 0.982 0.153 0.584
Cs 0.750 0.280 0.398
Cs 0.250 0.220 0.898
I 0.250 0.724 0.337
F 0.518 0.653 0.916
F 0.016 0.087 0.240
Cs 0.750 0.780 0.102
F 0.516 0.913 0.760
F 0.018 0.847 0.416



! SCAN Y2Pd2Pt, PBEsol geometry; values from VASP
! Formation energy: -3.98 eV/f.u.
&SYSTEM
  ibrav = 0, nat = 5, ntyp = 3
/
ATOMIC_SPECIES
Pd 106.42 Pd.upf
Y 88.91 Y.upf
Pt 195.08 Pt.upf
CELL_PARAMETERS angstrom
-3.985 1.844 2.846
0.150 -5.248 -1.200
3.385 1.903 3.507
ATOMIC_POSITIONS crystal
Pd 0.342 0.684 0.342
Pd 0.658 0.316 0.658
Y 0.750 0.500 0.250
Y 0.250 0.500 0.750
Pt 0.000 0.000 0.000



! SCAN Cu2NiRu, PBEsol geometry; values from VASP
! Relative energy among the computed polymorphs: 31 meV/atom
! Formation energy: 0.75 eV/f.u.
&SYSTEM
  ibrav = 0, nat = 4, ntyp = 3
/
ATOMIC_SPECIES
Cu 63.55 Cu.upf
Ni 58.69 Ni.upf
Ru 101.07 Ru.upf
CELL_PARAMETERS angstrom
2.507 0.000 0.000
0.000 3.624 0.000
0.000 0.000 5.142
ATOMIC_POSITIONS crystal
Cu 0.500 0.500 0.245
Cu 0.000 0.000 0.011
Ni 0.000 0.000 0.507
Ru 0.500 0.500 0.737



! SCAN TaInTe2, PBEsol geometry; values from VASP
! Raw formation energy: 0.0996 eV per atom
&SYSTEM
  ibrav = 0, nat = 8, ntyp = 3
/
ATOMIC_SPECIES
Te 127.60 Te.upf
In 114.82 In.upf
Ta 180.95 Ta.upf
CELL_PARAMETERS angstrom
-4.127 -1.285 3.523
1.868 -5.066 4.752
0.042 4.055 5.941
ATOMIC_POSITIONS crystal
Te 0.757 0.868 0.368
In 0.250 0.500 0.500
Te 0.375 0.632 0.868
Te 0.875 0.368 0.132
Te 0.993 0.132 0.632
Ta 0.750 0.500 0.500
Ta 0.000 0.000 0.000
In 0.500 0.000 0.000



! SCAN CaCr2Mo, PBEsol geometry; values from VASP
! Relative energy among the computed polymorphs: 41 meV/atom
! Formation energy: 2.65 eV/f.u.
&SYSTEM
  ibrav = 0, nat = 4, ntyp = 3
/
ATOMIC_SPECIES
Ca 40.08 Ca.upf
Cr 52.00 Cr.upf
Mo 95.94 Mo.upf
CELL_PARAMETERS angstrom
2.930 0.000 0.017
0.000 3.577 0.000
-0.986 0.000 6.600
ATOMIC_POSITIONS crystal
Ca 0.547 0.500 0.764
Cr 0.082 0.000 0.091
Cr 0.451 0.500 0.236
Mo 0.919 0.000 0.410



! SCAN HgPt2W, PBEsol geometry; values from VASP
! Formation energy: -0.73 eV/f.u.
&SYSTEM
  ibrav = 0, nat = 4, ntyp = 3
/
ATOMIC_SPECIES
Pt 195.08 Pt.upf
Hg 200.59 Hg.upf
W 183.84 W.upf
CELL_PARAMETERS angstrom
-0.070 1.610 -2.303
-2.712 0.565 0.478
2.157 6.536 4.503
ATOMIC_POSITIONS crystal
Pt 0.000 0.000 0.774
Hg 0.500 0.500 0.500
W 0.500 0.500 0.000
Pt 0.000 0.000 0.226



no.,volume (Å³/atom),final energy (eV per atom)
1,20.317,-27.051
2,17.099,-48.257
3,20.053,-15.451
4,21.430,-39.082
5,11.680,-20.163
6,30.646,-43.518
7,17.307,-19.666
8,16.246,-69.741